Density functional theory data (GGA+U) for a geometry-optimized USiNiO6 structure.

a = 5.1414 Å, b = 5.1414 Å, c = 8.7500 Å
α = 90.00°, β = 90.00°, γ = 120.00°
Element x y z (fractional)
U (0.3333, 0.6667, 0.2500)
U (0.6667, 0.3333, 0.7500)
Si (0.3333, 0.6667, 0.7500)
Si (0.6667, 0.3333, 0.2500)
Ni (0.0000, 0.0000, 0.0000)
Ni (0.0000, 0.0000, 0.5000)
O (0.0417, 0.3712, 0.6351)
O (0.0417, 0.6705, 0.8649)
O (0.3295, 0.3712, 0.8649)
O (0.3295, 0.9583, 0.6351)
O (0.3712, 0.0417, 0.1351)
O (0.3712, 0.3295, 0.3649)
O (0.6288, 0.6705, 0.6351)
O (0.6288, 0.9583, 0.8649)
O (0.6705, 0.0417, 0.3649)
O (0.6705, 0.6288, 0.1351)
O (0.9583, 0.3295, 0.1351)
O (0.9583, 0.6288, 0.3649)

Summary:
The uncorrected energy is -139.98 eV per cell. The density is 7.0 g cm⁻³. The value obtained for the volume is 11.13 A^3/atom. The total magnetization comes out at 2.00 μB per formula unit.